1.
Compound: TbSi2Pt6
Source: Alexandria
Functional: GGA-PBE
Structure: relaxed

Computed properties:
calculated volume = 18.9 A^3/atom
ΔE_f (raw) = -812 meV per atom
M_tot = 0.0 μB per cell

Unit cell a=5.5403 b=5.5403 c=6.3985 alpha=90.00 beta=90.00 gamma=120.00
Last column: nearest neighbours and their distance in Å.
Sites, in units of the cell vectors:
Tb1 0.0000 0.0000 0.0000  12 Pt 3.11
Si1 0.3333 0.6667 0.5000  6 Pt 2.40
Si2 0.6667 0.3333 0.5000  6 Pt 2.40
Pt1 0.0000 0.5000 0.2204  2 Si 2.40
Pt2 0.0000 0.5000 0.7796  2 Si 2.40
Pt3 0.5000 0.0000 0.2204  2 Si 2.40
Pt4 0.5000 0.0000 0.7796  2 Si 2.40
Pt5 0.5000 0.5000 0.2204  2 Si 2.40
Pt6 0.5000 0.5000 0.7796  2 Si 2.40

***

2.
Compound: TbSiPt2
Source: Alexandria
Functional: GGA-PBE
Structure: relaxed

Computed properties:
calculated volume = 17.8 A^3/atom
ΔE_f (raw) = -1173 meV per atom
M_tot = 0.0 μB per cell

Unit cell a=7.3560 b=6.9764 c=5.5477 alpha=90.00 beta=90.00 gamma=90.00
Last column: nearest neighbours and their distance in Å.
Sites, in units of the cell vectors:
Tb1 0.0261 0.2500 0.1357  3 Si 2.98-3.00, 8 Pt 3.00-3.16
Tb2 0.4739 0.7500 0.6357  3 Si 2.98-3.00, 8 Pt 3.00-3.16
Tb3 0.5261 0.2500 0.3643  3 Si 2.98-3.00, 8 Pt 3.00-3.16
Tb4 0.9739 0.7500 0.8643  3 Si 2.98-3.00, 8 Pt 3.00-3.16
Si1 0.1212 0.7500 0.3638  6 Pt 2.49-2.63
Si2 0.3788 0.2500 0.8638  6 Pt 2.49-2.63
Si3 0.6212 0.7500 0.1362  6 Pt 2.49-2.63
Si4 0.8788 0.2500 0.6362  6 Pt 2.49-2.63
Pt1 0.1805 0.0510 0.5918  3 Si 2.49-2.63, 1 Pt 2.78
Pt2 0.1805 0.4490 0.5918  3 Si 2.49-2.63, 1 Pt 2.78
Pt3 0.3195 0.5510 0.0918  3 Si 2.49-2.63, 1 Pt 2.78
Pt4 0.3195 0.9490 0.0918  3 Si 2.49-2.63, 1 Pt 2.78
Pt5 0.6805 0.0510 0.9082  3 Si 2.49-2.63, 1 Pt 2.78
Pt6 0.6805 0.4490 0.9082  3 Si 2.49-2.63, 1 Pt 2.78
Pt7 0.8195 0.5510 0.4082  3 Si 2.49-2.63, 1 Pt 2.78
Pt8 0.8195 0.9490 0.4082  3 Si 2.49-2.63, 1 Pt 2.78

***

3.
Compound: TbSi2Pt4
Source: Alexandria
Functional: GGA-PBE
Structure: relaxed

Computed properties:
calculated volume = 16.8 A^3/atom
excess energy over the best structure of this formula in the dataset = 19 kJ/mol of formula units
ΔE_f (raw) = -875 meV per atom
M_tot = 0.0 μB per cell

Unit cell a=7.2416 b=7.2416 c=4.1198 alpha=90.00 beta=90.00 gamma=147.00
Last column: nearest neighbours and their distance in Å.
Sites, in units of the cell vectors:
Tb1 0.0000 0.0000 0.0000  8 Si 3.14, 8 Pt 3.14-3.17
Si1 0.4154 0.5846 0.5000  1 Si 2.35, 4 Pt 2.38-2.40
Si2 0.5846 0.4154 0.5000  1 Si 2.35, 4 Pt 2.38-2.40
Pt1 0.1738 0.8262 0.5000  2 Si 2.40
Pt2 0.3291 0.6709 0.0000  2 Si 2.38
Pt3 0.6709 0.3291 0.0000  2 Si 2.38
Pt4 0.8262 0.1738 0.5000  2 Si 2.40

***

4.
Compound: Tb4Si3Pt
Source: Alexandria
Functional: GGA-PBE
Structure: relaxed

Computed properties:
calculated volume = 22.4 A^3/atom
ΔE_f (raw) = -910 meV per atom
M_tot = 0.0 μB per cell

Unit cell a=3.9328 b=4.2201 c=10.7863 alpha=90.00 beta=90.00 gamma=90.00
Last column: nearest neighbours and their distance in Å.
Sites, in units of the cell vectors:
Tb1 0.0000 0.0000 0.0000  4 Pt 2.95, 3 Si 3.14-3.17
Tb2 0.0000 0.5000 0.4950  7 Si 2.98-3.10
Tb3 0.5000 0.0000 0.2786  5 Si 2.96-3.07, 2 Pt 3.19
Tb4 0.5000 0.5000 0.7790  6 Si 2.99-3.14, 1 Pt 3.00
Si1 0.0000 0.0000 0.7057  2 Si 2.50
Si2 0.0000 0.5000 0.2162  2 Pt 2.61
Si3 0.5000 0.0000 0.5629  2 Si 2.50
Pt1 0.5000 0.5000 0.0570  2 Si 2.61

***

5.
Compound: TbSi4Pt6
Source: Alexandria
Functional: GGA-PBE
Structure: relaxed

Computed properties:
calculated volume = 17.5 A^3/atom
ΔE_f (raw) = -728 meV per atom
M_tot = 0.0 μB per cell

Unit cell a=6.3878 b=6.3878 c=6.3878 alpha=116.67 beta=116.67 gamma=95.87
Last column: nearest neighbours and their distance in Å.
Sites, in units of the cell vectors:
Tb1 0.0000 0.0000 0.0000  4 Si 3.07, 8 Pt 3.35-3.44
Si1 0.1456 0.1456 0.5897  4 Pt 2.28-2.49
Si2 0.4441 0.8544 0.0000  4 Pt 2.28-2.49
Si3 0.5559 0.5559 0.4103  4 Pt 2.28-2.49
Si4 0.8544 0.4441 0.0000  4 Pt 2.28-2.49
Pt1 0.0000 0.5000 0.5000  4 Si 2.73, 4 Pt 2.80
Pt2 0.2122 0.5164 0.0000  4 Si 2.28-2.49
Pt3 0.4836 0.4836 0.6958  4 Si 2.28-2.49
Pt4 0.5000 0.0000 0.5000  4 Si 2.73, 4 Pt 2.80
Pt5 0.5164 0.2122 0.0000  4 Si 2.28-2.49
Pt6 0.7878 0.7878 0.3042  4 Si 2.28-2.49

***

6.
Compound: Tb2SiPt6
Source: Alexandria
Functional: GGA-PBE
Structure: relaxed

Computed properties:
calculated volume = 18.1 A^3/atom
ΔE_f (raw) = -1080 meV per atom
M_tot = 0.0 μB per cell

Unit cell a=5.6165 b=5.6165 c=6.1226 alpha=102.44 beta=102.44 gamma=60.29
Last column: nearest neighbours and their distance in Å.
Sites, in units of the cell vectors:
Tb1 0.1446 0.1446 0.3564  9 Pt 2.96-3.10
Tb2 0.8554 0.8554 0.6436  9 Pt 2.96-3.10
Si1 0.5000 0.5000 0.5000  6 Pt 2.40-2.45
Pt1 0.1120 0.6232 0.1956  1 Si 2.45
Pt2 0.3773 0.3773 0.7957  1 Si 2.40
Pt3 0.3768 0.8880 0.8044  1 Si 2.45
Pt4 0.6232 0.1120 0.1956  1 Si 2.45
Pt5 0.6227 0.6227 0.2043  1 Si 2.40
Pt6 0.8880 0.3768 0.8044  1 Si 2.45

***

7.
Compound: TbSiPt
Source: Alexandria
Functional: GGA-PBE
Structure: relaxed

Computed properties:
calculated volume = 19.8 A^3/atom
ΔE_f (raw) = -1145 meV per atom
M_tot = 0.0 μB per cell

Unit cell a=4.2572 b=4.2572 c=3.7893 alpha=90.00 beta=90.00 gamma=120.00
Last column: nearest neighbours and their distance in Å.
Sites, in units of the cell vectors:
Tb1 0.0000 0.0000 0.0000  6 Si 3.10, 6 Pt 3.10
Si1 0.3333 0.6667 0.5000  3 Pt 2.46
Pt1 0.6667 0.3333 0.5000  3 Si 2.46

***

8.
Compound: Tb3Si3Pt
Source: Alexandria
Functional: GGA-PBE
Structure: relaxed

Computed properties:
calculated volume = 20.7 A^3/atom
ΔE_f (raw) = -981 meV per atom
M_tot = 0.0 μB per cell

Unit cell a=5.6627 b=5.6627 c=13.7562 alpha=108.83 beta=108.83 gamma=44.52
Last column: nearest neighbours and their distance in Å.
Sites, in units of the cell vectors:
Tb1 0.0317 0.0317 0.3767  7 Si 2.98-3.32, 4 Pt 3.02-3.19
Tb2 0.1034 0.1034 0.9238  7 Si 2.96-3.12
Tb3 0.2455 0.2455 0.2254  6 Si 2.98-3.06, 2 Pt 3.13
Tb4 0.7545 0.7545 0.7746  6 Si 2.98-3.06, 2 Pt 3.13
Tb5 0.8966 0.8966 0.0762  7 Si 2.96-3.12
Tb6 0.9683 0.9683 0.6233  7 Si 2.98-3.32, 4 Pt 3.02-3.19
Si1 0.3698 0.3698 0.4602  3 Pt 2.49-2.74, 1 Si 2.56
Si2 0.3888 0.3888 0.9259  2 Si 2.49-2.51
Si3 0.4607 0.4607 0.7711  1 Si 2.49, 1 Pt 2.55
Si4 0.5393 0.5393 0.2289  1 Si 2.49, 1 Pt 2.55
Si5 0.6112 0.6112 0.0741  2 Si 2.49-2.51
Si6 0.6302 0.6302 0.5398  3 Pt 2.49-2.74, 1 Si 2.56
Pt1 0.2487 0.2487 0.6072  4 Si 2.49-2.74
Pt2 0.7513 0.7513 0.3928  4 Si 2.49-2.74